1.
Here is an optimized crystal structure of PmErSiAg from the Alexandria database. Energies are from GGA-PBE.

Lattice parameters (Å, degrees): 5.0945 5.0945 5.0945 60.00 60.00 60.00
Fractional positions:
Pm  0.0000  0.0000  0.0000
Er  0.5000  0.5000  0.5000
Si  0.7500  0.7500  0.7500
Ag  0.2500  0.2500  0.2500

Results
* N(E_F): 0.84 states/eV/atom
* formation energy (no corrections): -0.43 eV per atom



2.
Here is an optimized crystal structure of ZnBRh2 from the Alexandria database. Energies are from GGA-PBE.

Lattice parameters (Å, degrees): 6.9086 6.9086 6.9086 24.74 24.74 24.74
Fractional positions:
Zn  0.0000  0.0000  0.0000
B  0.5000  0.5000  0.5000
Rh  0.2295  0.2295  0.2295
Rh  0.7705  0.7705  0.7705

Results
* N(E_F): 0.71 states/eV/atom
* ΔH_f (0 K): -330 meV per atom



3.
Here is an optimized crystal structure of PuTlTe4 from the Alexandria database. Energies are from GGA-PBE.

Lattice parameters (Å, degrees): 6.7933 6.7933 8.8700 90.00 90.00 90.00
Fractional positions:
Pu  0.2500  0.2500  0.0000
Pu  0.7500  0.7500  0.0000
Tl  0.2500  0.2500  0.5000
Tl  0.7500  0.7500  0.5000
Te  0.1016  0.6016  0.2142
Te  0.1016  0.8984  0.7858
Te  0.3984  0.6016  0.7858
Te  0.3984  0.8984  0.2142
Te  0.6016  0.1016  0.7858
Te  0.6016  0.3984  0.2142
Te  0.8984  0.1016  0.2142
Te  0.8984  0.3984  0.7858

Results
* N(E_F): 2.18 states/eV/atom
* formation energy (no corrections): -0.53 eV per atom



4.
Here is an optimized crystal structure of Zr2ScRhN from the Alexandria database. Energies are from GGA-PBE.

Lattice parameters (Å, degrees): 4.4801 4.4801 4.2602 90.00 90.00 90.00
Fractional positions:
Zr  0.0000  0.5000  0.0000
Zr  0.5000  0.0000  0.0000
Sc  0.0000  0.0000  0.5000
Rh  0.5000  0.5000  0.5000
N  0.0000  0.0000  0.0000

Results
* N(E_F): 0.92 states/eV/atom
* formation energy (no corrections): -0.95 eV per atom



Looking at electronic total energy for the records above, in order, we have -4.82 -5.99 -5.41 -8.77 eV per atom.
Looking at total magnetization for the records above, in order, we have 0.0 0.0 5.1 0.0 μB per formula unit.